# 1
Entry from Alexandria via LeMat-Bulk: a relaxed structure of PuS2 (PBE).

Cell lengths 3.923, 3.923, 7.709 Å; angles 90.00, 90.00, 90.00 degrees
Space group P4/nmm (No. 129, origin choice 2)
Symmetry-distinct sites (fractional):
Pu 0.250 0.250 0.230 x2
S 0.250 0.250 0.861 x2
S 0.250 0.750 0.500 x2

The uncorrected formation energy is -402 kJ/mol of formula units. As for the total magnetization: 9.5 μB/cell. As for the density: 8.63 g cm⁻³.

=====

# 2
Entry from Alexandria via LeMat-Bulk: a relaxed structure of Pu2S3 (PBE).

Cell lengths 7.617, 10.813, 5.490 Å; angles 90.00, 90.00, 90.00 degrees
Space group Ibam (No. 72)
Symmetry-distinct sites (fractional):
Pu 0.221 0.116 0.000 x8
S 0.000 0.500 0.250 x4
S 0.145 0.145 0.500 x8

The uncorrected formation energy is -772 kJ/mol of formula units. As for the total magnetization: 42.1 μB/cell. As for the density: 8.58 g cm⁻³.

=====

# 3
Entry from Alexandria via LeMat-Bulk: a relaxed structure of Pu3S4 (PBE).

Cell lengths 8.353, 8.353, 8.353 Å; angles 90.00, 90.00, 90.00 degrees
Space group I-43d (No. 220)
Symmetry-distinct sites (fractional):
Pu 0.000 0.250 0.375 x12
S 0.074 0.074 0.074 x16

The uncorrected formation energy is -1199 kJ/mol of formula units. As for the total magnetization: 64.0 μB/cell. As for the density: 9.80 g cm⁻³.

=====

# 4
Entry from Alexandria via LeMat-Bulk: a relaxed structure of PuS2 (PBE).

Cell lengths 6.645, 7.423, 5.201 Å; angles 90.00, 90.00, 90.00 degrees
Space group Pbcm (No. 57)
Symmetry-distinct sites (fractional):
Pu 0.250 0.051 0.250 x4
S 0.067 0.750 0.000 x4
S 0.376 0.097 0.750 x4

The uncorrected formation energy is -427 kJ/mol of formula units. As for the total magnetization: 18.4 μB/cell. As for the density: 7.98 g cm⁻³.

=====

# 5
Entry from Alexandria via LeMat-Bulk: a relaxed structure of Pu2S3 (PBE).

Cell lengths 6.9896, 6.9896, 18.2983 Å; angles 90.00, 90.00, 120.00 degrees
Space group R-3c (No. 167, hexagonal axes)
Symmetry-distinct sites (fractional):
Pu 0.0000 0.0000 0.1475 x12
S 0.0000 0.2936 0.2500 x18

The uncorrected formation energy is -795 kJ/mol of formula units. As for the total magnetization: 60.0 μB/cell. As for the density: 7.52 g cm⁻³.

=====

# 6
Entry from Alexandria via LeMat-Bulk: a relaxed structure of Pu4S5 (PBE).

Cell lengths 11.236, 11.236, 3.518 Å; angles 90.00, 90.00, 90.00 degrees
Space group I4/mmm (No. 139)
Symmetry-distinct sites (fractional):
Pu 0.152 0.152 0.000 x8
S 0.000 0.000 0.500 x2
S 0.000 0.277 0.500 x8

The uncorrected formation energy is -945 kJ/mol of formula units. As for the total magnetization: 44.0 μB/cell. The energy above the most stable polymorph in this dataset comes out at 477 meV per atom. As for the density: 8.50 g cm⁻³.

=====

# 7
Entry from Alexandria via LeMat-Bulk: a relaxed structure of Pu4S3 (PBE).

Cell lengths 3.8612, 3.8612, 38.3918 Å; angles 90.00, 90.00, 120.00 degrees
Space group R-3m (No. 166, hexagonal axes)
Symmetry-distinct sites (fractional):
Pu 0.0000 0.0000 0.1232 x6
Pu 0.0000 0.0000 0.3705 x6
S 0.0000 0.0000 0.2529 x6
S 0.0000 0.0000 0.5000 x3

The uncorrected formation energy is -911 kJ/mol of formula units. As for the total magnetization: 4.5 μB/cell. As for the density: 10.78 g cm⁻³.

=====

# 8
Entry from Alexandria via LeMat-Bulk: a relaxed structure of Pu2S3 (PBE).

Cell lengths 8.290, 8.290, 25.114 Å; angles 90.00, 90.00, 90.00 degrees
Space group I-42d (No. 122)
Symmetry-distinct sites (fractional):
Pu 0.000 0.000 0.165 x8
Pu 0.120 0.250 0.625 x8
Pu 0.135 0.245 0.289 x16
S 0.076 0.173 0.067 x16
S 0.076 0.179 0.396 x16
S 0.078 0.170 0.734 x16

The uncorrected formation energy is -783 kJ/mol of formula units. As for the total magnetization: 1.1 μB/cell. As for the density: 8.99 g cm⁻³.

=====

Copy entry 6 word for word.
Entry from Alexandria via LeMat-Bulk: a relaxed structure of Pu4S5 (PBE).

Cell lengths 11.236, 11.236, 3.518 Å; angles 90.00, 90.00, 90.00 degrees
Space group I4/mmm (No. 139)
Symmetry-distinct sites (fractional):
Pu 0.152 0.152 0.000 x8
S 0.000 0.000 0.500 x2
S 0.000 0.277 0.500 x8

The uncorrected formation energy is -945 kJ/mol of formula units. As for the total magnetization: 44.0 μB/cell. The energy above the most stable polymorph in this dataset comes out at 477 meV per atom. As for the density: 8.50 g cm⁻³.

=====

> Among the records above, which one has the highest total magnetization?

Pu3S4

=====

> The highest total magnetization belongs to which entry?

Pu3S4